DFT (GGA+U) results for an optimized crystal structure of Li4MnCo3O8.

magnetization = 4.0 μB per formula unit
energy above the most stable polymorph in this dataset = 0.0000 eV/atom
VASP energy = -5.892 eV per atom

a b c (Å): 2.896 4.935 9.745
angles (deg): 79.46 90.00 90.00
Atoms (fractional coordinates):
Li 0.000 0.256 0.258
Li 0.500 0.249 0.748
Li 0.000 0.744 0.742
Li 0.500 0.751 0.252
Mn 0.500 0.500 0.000
Co 0.000 0.000 0.000
Co 0.500 0.000 0.500
Co 0.000 0.500 0.500
O 0.000 0.360 0.877
O 0.500 0.372 0.394
O 0.000 0.874 0.393
O 0.500 0.870 0.892
O 0.000 0.126 0.607
O 0.500 0.130 0.108
O 0.000 0.640 0.123
O 0.500 0.628 0.606